[1]
{"formula": "La2Pm3Se8", "functional": "PBE", "state": "relaxed", "cell": [[7.2069, 0.0000, 0.1951], [0.0000, 8.5921, 0.0000], [-2.6921, -4.2960, 6.8750]], "species": ["La", "La", "Pm", "Pm", "Pm", "Se", "Se", "Se", "Se", "Se", "Se", "Se", "Se"], "frac_coords": [[0.3441, 0.2634, 0.5267], [0.6559, 0.7366, 0.4733], [0.5000, 0.0000, 0.0000], [0.0000, 0.2628, 0.0000], [0.0000, 0.7372, 0.0000], [0.9299, 0.6241, 0.2483], [0.0701, 0.3759, 0.7517], [0.9268, 0.1161, 0.2321], [0.0732, 0.8839, 0.7679], [0.5868, 0.6449, 0.7556], [0.5868, 0.1106, 0.7556], [0.4132, 0.8894, 0.2444], [0.4132, 0.3551, 0.2444]], "e_form_raw_ev_per_fu": -22.979, "energy_ev_per_cell": -75.0, "total_magnetization_mub_per_fu": 0.00, "rho_g_cm3": 5.19, "volume_a3_per_atom": 33.09, "sg": "C2/m, No. 12"}

***

[2]
{"formula": "LaPm3Se6", "functional": "PBE", "state": "relaxed", "cell": [[4.2609, 0.0000, 0.0000], [0.0000, 11.8577, 0.0214], [0.0000, -3.9426, 11.5216]], "species": ["La", "La", "Pm", "Pm", "Pm", "Pm", "Pm", "Pm", "Se", "Se", "Se", "Se", "Se", "Se", "Se", "Se", "Se", "Se", "Se", "Se"], "frac_coords": [[0.7500, 0.0466, 0.6920], [0.2500, 0.9534, 0.3080], [0.7500, 0.4369, 0.8325], [0.2500, 0.5631, 0.1675], [0.7500, 0.6808, 0.5011], [0.2500, 0.3192, 0.4989], [0.7500, 0.1592, 0.0851], [0.2500, 0.8408, 0.9149], [0.7500, 0.4812, 0.6136], [0.2500, 0.5188, 0.3864], [0.7500, 0.9157, 0.0972], [0.2500, 0.0843, 0.9028], [0.7500, 0.3957, 0.0606], [0.2500, 0.6043, 0.9394], [0.7500, 0.7415, 0.2743], [0.2500, 0.2585, 0.7257], [0.7500, 0.1154, 0.4636], [0.2500, 0.8846, 0.5364], [0.7500, 0.8072, 0.7498], [0.2500, 0.1928, 0.2502]], "e_form_raw_ev_per_fu": -19.263, "energy_ev_per_cell": -118.7, "total_magnetization_mub_per_fu": 0.00, "rho_g_cm3": 5.97, "volume_a3_per_atom": 29.12, "sg": "P2_1/m, No. 11"}

***

[3]
{"formula": "La5PmSe8", "functional": "PBE", "state": "relaxed", "cell": [[-6.8870, -1.4923, -3.4525], [-0.9003, -0.2276, 7.7920], [2.5444, 7.1166, -2.1112]], "species": ["La", "La", "La", "La", "La", "Pm", "Se", "Se", "Se", "Se", "Se", "Se", "Se", "Se"], "frac_coords": [[0.0054, 0.3810, 0.1254], [0.8746, 0.8800, 0.2555], [0.7445, 0.6190, 0.6244], [0.5000, 0.0000, 0.5000], [0.3756, 0.1200, 0.9946], [0.2500, 0.5000, 0.7500], [0.1281, 0.7508, 0.0237], [0.9763, 0.1044, 0.7271], [0.7790, 0.2521, 0.3768], [0.6232, 0.4022, 0.8753], [0.4732, 0.5978, 0.2210], [0.6227, 0.8956, 0.8719], [0.2729, 0.2492, 0.3773], [0.1247, 0.7479, 0.5268]], "e_form_raw_ev_per_fu": -27.914, "energy_ev_per_cell": -85.2, "total_magnetization_mub_per_fu": 0.00, "rho_g_cm3": 6.57, "volume_a3_per_atom": 26.57, "sg": "I-4, No. 82"}

***

[4]
{"formula": "LaPmSe2", "functional": "PBE", "state": "relaxed", "cell": [[5.1933, 0.0000, 0.0000], [2.5966, 4.4975, 0.0000], [2.5966, 1.4992, 4.2403]], "species": ["La", "Se", "Se", "Pm"], "frac_coords": [[0.5000, 0.5000, 0.5000], [0.2500, 0.2500, 0.2500], [0.7500, 0.7500, 0.7500], [0.0000, 0.0000, 0.0000]], "e_form_raw_ev_per_fu": -6.747, "energy_ev_per_cell": -23.4, "total_magnetization_mub_per_fu": 0.16, "rho_g_cm3": 7.41, "volume_a3_per_atom": 24.76, "sg": "Fm-3m, No. 225"}

***

[5]
{"formula": "La6PmSe8", "functional": "PBE", "state": "relaxed", "cell": [[-3.6853, -5.7799, 5.1856], [0.3596, 1.0290, 8.5259], [-7.0992, 2.0674, 4.3825]], "species": ["La", "La", "La", "La", "La", "La", "Pm", "Se", "Se", "Se", "Se", "Se", "Se", "Se", "Se"], "frac_coords": [[0.0000, 0.5000, 0.5000], [0.5000, 0.0000, 0.0000], [0.5000, 0.5000, 0.0000], [0.0000, 0.0000, 0.5000], [0.0000, 0.5000, 0.0000], [0.5000, 0.0000, 0.5000], [0.0000, 0.0000, 0.0000], [0.7500, 0.7500, 0.7500], [0.2500, 0.2500, 0.2500], [0.7535, 0.2465, 0.2465], [0.2465, 0.7535, 0.7535], [0.2465, 0.2465, 0.7535], [0.7535, 0.7535, 0.2465], [0.7535, 0.2465, 0.7535], [0.2465, 0.7535, 0.2465]], "e_form_raw_ev_per_fu": -29.947, "energy_ev_per_cell": -92.1, "total_magnetization_mub_per_fu": 0.00, "rho_g_cm3": 5.95, "volume_a3_per_atom": 29.93, "sg": "Fm-3m, No. 225"}

***

[6]
{"formula": "LaPm2Se", "functional": "PBE", "state": "relaxed", "cell": [[3.9280, 0.0000, 0.0000], [1.9640, 3.4018, 0.0000], [1.9640, 1.1339, 9.7480]], "species": ["La", "Pm", "Pm", "Se"], "frac_coords": [[0.4997, 0.4997, 0.5010], [0.0637, 0.0637, 0.8088], [0.2697, 0.2697, 0.1909], [0.6669, 0.6669, 0.9993]], "e_form_raw_ev_per_fu": -3.245, "energy_ev_per_cell": -21.2, "total_magnetization_mub_per_fu": 0.00, "rho_g_cm3": 6.47, "volume_a3_per_atom": 32.56, "sg": "R3m, No. 160"}

***

[7]
{"formula": "La2PmSe4", "functional": "PBE", "state": "relaxed", "cell": [[7.3654, 0.0000, 4.2453], [2.5342, 6.9925, 4.1153], [0.0068, -0.0034, 8.5002]], "species": ["La", "La", "La", "La", "Pm", "Pm", "Se", "Se", "Se", "Se", "Se", "Se", "Se", "Se"], "frac_coords": [[0.0000, 0.0000, 0.0000], [0.0000, 0.0000, 0.5000], [0.0000, 0.5000, 0.5000], [0.5000, 0.0000, 0.5000], [0.5000, 0.5000, 0.0000], [0.0000, 0.5000, 0.0000], [0.2549, 0.2501, 0.2402], [0.7451, 0.2598, 0.2499], [0.2549, 0.7402, 0.7501], [0.7451, 0.7499, 0.7598], [0.7571, 0.7477, 0.2477], [0.7525, 0.2523, 0.7523], [0.2475, 0.7477, 0.2477], [0.2429, 0.2523, 0.7523]], "e_form_raw_ev_per_fu": -13.577, "energy_ev_per_cell": -84.2, "total_magnetization_mub_per_fu": 0.00, "rho_g_cm3": 5.61, "volume_a3_per_atom": 31.26, "sg": "Imma, No. 74"}

***

[8]
{"formula": "LaPm2Se3", "functional": "PBE", "state": "relaxed", "cell": [[-1.4717, 3.8452, -1.0201], [-2.6411, -2.2996, -4.8582], [-3.1974, -1.8861, 6.3222]], "species": ["La", "Pm", "Pm", "Se", "Se", "Se"], "frac_coords": [[0.5000, 0.5000, 0.5000], [0.8335, 0.8335, 0.1670], [0.1665, 0.1665, 0.8330], [0.8297, 0.3297, 0.1593], [0.1703, 0.6703, 0.8407], [0.5000, 0.0000, 0.5000]], "e_form_raw_ev_per_fu": -11.328, "energy_ev_per_cell": -36.2, "total_magnetization_mub_per_fu": 0.00, "rho_g_cm3": 6.86, "volume_a3_per_atom": 26.87, "sg": "Immm, No. 71"}

***

[9]
{"formula": "La5PmSe6", "functional": "PBE", "state": "relaxed", "cell": [[7.3466, 0.1874, 1.1206], [1.8145, 6.2266, 3.6314], [0.1266, 0.0581, 7.4443]], "species": ["Pm", "Se", "Se", "Se", "Se", "Se", "Se", "La", "La", "La", "La", "La"], "frac_coords": [[0.0000, 0.0000, 0.0000], [0.7533, 0.0820, 0.3293], [0.2467, 0.5887, 0.3293], [0.2486, 0.2461, 0.0000], [0.7514, 0.7539, 0.0000], [0.7533, 0.4113, 0.6707], [0.2467, 0.9180, 0.6707], [0.5000, 0.1679, 0.6641], [0.0000, 0.3338, 0.3323], [0.5000, 0.5000, 0.0000], [0.0000, 0.6662, 0.6677], [0.5000, 0.8321, 0.3359]], "e_form_raw_ev_per_fu": -23.715, "energy_ev_per_cell": -74.0, "total_magnetization_mub_per_fu": 0.00, "rho_g_cm3": 6.49, "volume_a3_per_atom": 27.98, "sg": "C2/m, No. 12"}

***

[10]
{"formula": "La4PmSe5", "functional": "PBE", "state": "relaxed", "cell": [[4.2118, 0.0000, -0.8126], [-0.3128, 5.8400, -1.6211], [0.0067, -0.0005, 11.3569]], "species": ["La", "La", "La", "La", "Pm", "Se", "Se", "Se", "Se", "Se"], "frac_coords": [[0.4003, 0.4003, 0.8005], [0.8010, 0.8010, 0.6020], [0.1990, 0.1990, 0.3980], [0.5997, 0.5997, 0.1995], [0.0000, 0.0000, 0.0000], [0.5972, 0.0972, 0.1944], [0.7997, 0.2997, 0.5994], [0.2003, 0.7003, 0.4006], [0.0000, 0.5000, 0.0000], [0.4028, 0.9028, 0.8056]], "e_form_raw_ev_per_fu": -19.640, "energy_ev_per_cell": -61.5, "total_magnetization_mub_per_fu": 0.00, "rho_g_cm3": 6.51, "volume_a3_per_atom": 27.94, "sg": "Immm, No. 71"}

***

[11]
{"formula": "LaPm5Se8", "functional": "PBE", "state": "relaxed", "cell": [[-4.2038, -0.0163, -6.5325], [1.3959, -7.3703, 2.0188], [-3.7599, 3.4597, 5.8514]], "species": ["La", "Pm", "Pm", "Pm", "Pm", "Pm", "Se", "Se", "Se", "Se", "Se", "Se", "Se", "Se"], "frac_coords": [[0.2500, 0.5000, 0.7500], [0.0284, 0.4020, 0.1233], [0.8767, 0.9051, 0.2787], [0.7213, 0.5980, 0.6264], [0.5000, 0.0000, 0.5000], [0.3736, 0.0949, 0.9716], [0.1234, 0.7568, 0.0217], [0.9783, 0.1018, 0.7351], [0.7657, 0.2563, 0.3775], [0.6225, 0.3882, 0.8788], [0.4906, 0.6118, 0.2343], [0.6334, 0.8982, 0.8766], [0.2649, 0.2432, 0.3666], [0.1212, 0.7437, 0.5094]], "e_form_raw_ev_per_fu": -26.333, "energy_ev_per_cell": -82.9, "total_magnetization_mub_per_fu": 0.00, "rho_g_cm3": 6.89, "volume_a3_per_atom": 25.74, "sg": "I-4, No. 82"}

***

[12]
{"formula": "LaPm4Se7", "functional": "PBE", "state": "relaxed", "cell": [[4.0982, 0.0000, 0.0000], [-2.0491, 6.7293, -1.7650], [0.0000, 0.0202, 12.5123]], "species": ["La", "Pm", "Pm", "Pm", "Pm", "Se", "Se", "Se", "Se", "Se", "Se", "Se"], "frac_coords": [[0.8876, 0.7752, 0.5791], [0.7003, 0.4006, 0.8141], [0.2996, 0.5993, 0.1876], [0.0003, 0.0007, 0.0014], [0.1128, 0.2256, 0.4183], [0.7394, 0.4788, 0.3476], [0.2553, 0.5106, 0.6500], [0.3410, 0.6820, 0.9505], [0.6598, 0.3197, 0.0504], [0.0436, 0.0872, 0.7879], [0.9575, 0.9150, 0.2153], [0.5027, 0.0055, 0.4978]], "e_form_raw_ev_per_fu": -22.808, "energy_ev_per_cell": -71.1, "total_magnetization_mub_per_fu": 0.00, "rho_g_cm3": 6.12, "volume_a3_per_atom": 28.77, "sg": "Cm, No. 8"}

***

[13]
{"formula": "LaPm4Se5", "functional": "PBE", "state": "relaxed", "cell": [[4.1429, 0.0000, -0.7993], [-0.3073, 5.7390, -1.5931], [0.0079, 0.0044, 11.1777]], "species": ["La", "Pm", "Pm", "Pm", "Pm", "Se", "Se", "Se", "Se", "Se"], "frac_coords": [[0.0000, 0.0000, 0.0000], [0.3997, 0.3997, 0.7995], [0.7990, 0.7990, 0.5980], [0.2010, 0.2010, 0.4020], [0.6003, 0.6003, 0.2005], [0.6028, 0.1028, 0.2057], [0.8003, 0.3003, 0.6007], [0.1997, 0.6997, 0.3993], [0.0000, 0.5000, 0.0000], [0.3972, 0.8972, 0.7943]], "e_form_raw_ev_per_fu": -18.638, "energy_ev_per_cell": -60.0, "total_magnetization_mub_per_fu": 0.00, "rho_g_cm3": 6.96, "volume_a3_per_atom": 26.58, "sg": "Immm, No. 71"}

***

[14]
{"formula": "LaPm4Se6", "functional": "PBE", "state": "relaxed", "cell": [[4.1549, 0.0000, 0.0000], [-2.0774, 6.8913, 0.0000], [0.0000, 0.0000, 21.2284]], "species": ["La", "La", "Pm", "Pm", "Pm", "Pm", "Pm", "Pm", "Pm", "Pm", "Se", "Se", "Se", "Se", "Se", "Se", "Se", "Se", "Se", "Se", "Se", "Se"], "frac_coords": [[0.6570, 0.3140, 0.2500], [0.3430, 0.6859, 0.7500], [0.8590, 0.7181, 0.5389], [0.4094, 0.8187, 0.1265], [0.1410, 0.2819, 0.4611], [0.5906, 0.1813, 0.8735], [0.8590, 0.7181, 0.9611], [0.1410, 0.2819, 0.0389], [0.5906, 0.1813, 0.6265], [0.4094, 0.8187, 0.3735], [0.5000, 0.0000, 0.0000], [0.5000, 0.0000, 0.5000], [0.0502, 0.1004, 0.3334], [0.9498, 0.8996, 0.6666], [0.9498, 0.8996, 0.8334], [0.0502, 0.1004, 0.1666], [0.7677, 0.5354, 0.4081], [0.2323, 0.4646, 0.5919], [0.2323, 0.4646, 0.9081], [0.7677, 0.5354, 0.0919], [0.3137, 0.6274, 0.2500], [0.6863, 0.3726, 0.7500]], "e_form_raw_ev_per_fu": -20.980, "energy_ev_per_cell": -131.6, "total_magnetization_mub_per_fu": 0.00, "rho_g_cm3": 6.52, "volume_a3_per_atom": 27.63, "sg": "Cmcm, No. 63"}

***

[15]
{"formula": "LaPmSe2", "functional": "PBE", "state": "relaxed", "cell": [[-0.6323, -1.9921, -3.5964], [2.5131, -3.1200, -1.1191], [-3.7927, -6.4945, 1.8588]], "species": ["La", "Pm", "Se", "Se"], "frac_coords": [[0.4950, 0.4950, 0.5149], [0.6718, 0.6718, 0.9846], [0.0798, 0.0798, 0.7607], [0.2534, 0.2534, 0.2397]], "e_form_raw_ev_per_fu": -7.489, "energy_ev_per_cell": -24.1, "total_magnetization_mub_per_fu": 0.00, "rho_g_cm3": 6.65, "volume_a3_per_atom": 27.59, "sg": "R3m, No. 160"}

***

[16]
{"formula": "La2Pm2Se7", "functional": "PBE", "state": "relaxed", "cell": [[-0.5923, -4.0393, -6.2718], [-5.0205, -3.1590, 2.5029], [-4.6299, 5.2075, -2.7289]], "species": ["La", "La", "Pm", "Pm", "Se", "Se", "Se", "Se", "Se", "Se", "Se"], "frac_coords": [[0.7362, 0.0000, 0.2638], [0.2638, 0.0000, 0.7362], [0.7212, 0.5000, 0.7212], [0.2788, 0.5000, 0.2788], [0.9998, 0.2649, 0.5003], [0.5003, 0.7351, 0.9998], [0.0002, 0.7351, 0.4997], [0.4997, 0.2649, 0.0002], [0.0000, 0.0000, 0.0000], [0.5002, 0.7521, 0.4998], [0.4998, 0.2479, 0.5002]], "e_form_raw_ev_per_fu": -16.892, "energy_ev_per_cell": -60.6, "total_magnetization_mub_per_fu": 0.00, "rho_g_cm3": 5.16, "volume_a3_per_atom": 32.77, "sg": "C2/m, No. 12"}

***

[17]
{"formula": "La3Pm5Se8", "functional": "PBE", "state": "relaxed", "cell": [[7.3639, 0.0000, 4.2181], [2.4739, 6.9360, 4.2181], [0.0338, 0.0239, 8.4780]], "species": ["La", "La", "La", "Pm", "Pm", "Pm", "Pm", "Pm", "Se", "Se", "Se", "Se", "Se", "Se", "Se", "Se"], "frac_coords": [[0.5000, 0.0000, 0.5000], [0.0000, 0.0000, 0.5000], [0.0000, 0.5000, 0.5000], [0.5000, 0.0000, 0.0000], [0.5000, 0.5000, 0.0000], [0.0000, 0.0000, 0.0000], [0.0000, 0.5000, 0.0000], [0.5000, 0.5000, 0.5000], [0.2500, 0.2500, 0.7550], [0.2500, 0.7450, 0.7550], [0.7450, 0.2500, 0.7550], [0.7474, 0.7474, 0.7577], [0.7500, 0.7500, 0.2450], [0.7500, 0.2550, 0.2450], [0.2550, 0.7500, 0.2450], [0.2526, 0.2526, 0.2423]], "e_form_raw_ev_per_fu": -30.333, "energy_ev_per_cell": -96.7, "total_magnetization_mub_per_fu": 0.00, "rho_g_cm3": 6.82, "volume_a3_per_atom": 26.97, "sg": "R-3m, No. 166"}

***

[18]
{"formula": "LaPmSe2", "functional": "PBE", "state": "relaxed", "cell": [[4.2565, 0.0079, 0.0179], [2.1123, 3.6955, 0.0179], [2.1051, 1.2241, 6.9423]], "species": ["La", "Pm", "Se", "Se"], "frac_coords": [[0.5000, 0.5000, 0.5000], [0.0000, 0.0000, 0.0000], [0.7474, 0.7474, 0.7578], [0.2526, 0.2526, 0.2422]], "e_form_raw_ev_per_fu": -7.693, "energy_ev_per_cell": -24.3, "total_magnetization_mub_per_fu": 0.00, "rho_g_cm3": 6.74, "volume_a3_per_atom": 27.23, "sg": "C2/m, No. 12"}

***

[19]
{"formula": "La4PmSe7", "functional": "PBE", "state": "relaxed", "cell": [[-2.0170, 3.5310, 0.9877], [-2.7876, -5.2792, 4.3156], [10.1717, 4.0826, 6.1766]], "species": ["La", "La", "La", "La", "Pm", "Se", "Se", "Se", "Se", "Se", "Se", "Se"], "frac_coords": [[0.6988, 0.3975, 0.8079], [0.3019, 0.6038, 0.1909], [0.9999, 0.9998, 0.9985], [0.1123, 0.2246, 0.4250], [0.8867, 0.7734, 0.5775], [0.7402, 0.4804, 0.3538], [0.2649, 0.5299, 0.6493], [0.3397, 0.6793, 0.9490], [0.6600, 0.3201, 0.0507], [0.0410, 0.0820, 0.7810], [0.9583, 0.9165, 0.2155], [0.4963, 0.9926, 0.5010]], "e_form_raw_ev_per_fu": -23.970, "energy_ev_per_cell": -72.8, "total_magnetization_mub_per_fu": 0.00, "rho_g_cm3": 5.80, "volume_a3_per_atom": 29.91, "sg": "Cm, No. 8"}

***

[20]
{"formula": "La3Pm4Se8", "functional": "PBE", "state": "relaxed", "cell": [[8.4437, -0.1155, -0.1659], [-4.1168, 7.4148, 0.1509], [-4.1168, -2.4325, 7.0060]], "species": ["La", "La", "La", "Pm", "Pm", "Pm", "Pm", "Se", "Se", "Se", "Se", "Se", "Se", "Se", "Se"], "frac_coords": [[0.5000, 0.5000, 0.0000], [0.5000, 0.0000, 0.5000], [0.5000, 0.5000, 0.5000], [0.5000, 0.0000, 0.0000], [0.0000, 0.5000, 0.0000], [0.0000, 0.0000, 0.0000], [0.0000, 0.0000, 0.5000], [0.4979, 0.2463, 0.2463], [0.0000, 0.7503, 0.2497], [0.9952, 0.2480, 0.2480], [0.5000, 0.7524, 0.2476], [0.5000, 0.2476, 0.7524], [0.0048, 0.7520, 0.7520], [0.0000, 0.2497, 0.7503], [0.5021, 0.7537, 0.7537]], "e_form_raw_ev_per_fu": -29.007, "energy_ev_per_cell": -90.7, "total_magnetization_mub_per_fu": 0.00, "rho_g_cm3": 6.26, "volume_a3_per_atom": 28.78, "sg": "C2/m, No. 12"}